(i)
# Ir3PtBr | Alexandria via LeMat-Bulk | PBE-GGA | relaxed
data_Ir3PtBr
_space_group_name_H-M_alt 'P 1'
_space_group_IT_number 1
_space_group_name_Hall 'P 1'
_cell_length_a 4.883
_cell_length_b 4.883
_cell_length_c 4.883
_cell_angle_alpha 90.00
_cell_angle_beta 90.00
_cell_angle_gamma 90.00
loop_
_atom_site_label
_atom_site_fract_x
_atom_site_fract_y
_atom_site_fract_z
Ir1 0.000 0.000 0.500
Ir2 0.000 0.500 0.000
Ir3 0.500 0.000 0.000
Pt1 0.000 0.000 0.000
Br1 0.500 0.500 0.500
# spin magnetization: 0.944 μB per atom
# V: 116.42 Å³/cell

***

(ii)
# Ir3PtBr | Alexandria via LeMat-Bulk | PBE-GGA | relaxed
data_Ir3PtBr
_space_group_name_H-M_alt 'P 1'
_space_group_IT_number 1
_space_group_name_Hall 'P 1'
_cell_length_a 4.569
_cell_length_b 4.569
_cell_length_c 4.569
_cell_angle_alpha 90.00
_cell_angle_beta 90.00
_cell_angle_gamma 90.00
loop_
_atom_site_label
_atom_site_fract_x
_atom_site_fract_y
_atom_site_fract_z
Ir1 0.000 0.000 0.500
Ir2 0.000 0.500 0.000
Ir3 0.500 0.000 0.000
Pt1 0.500 0.500 0.500
Br1 0.000 0.000 0.000
# spin magnetization: 0.000 μB per atom
# V: 95.38 Å³/cell

***

Stability summary: most stable (ii), least stable (i).

***

(i)
# Rb3IrBr6 | Alexandria via LeMat-Bulk | PBE-GGA | relaxed
data_Rb3IrBr6
_space_group_name_H-M_alt 'P 1'
_space_group_IT_number 1
_space_group_name_Hall 'P 1'
_cell_length_a 9.238
_cell_length_b 9.238
_cell_length_c 9.238
_cell_angle_alpha 88.74
_cell_angle_beta 88.74
_cell_angle_gamma 88.74
loop_
_atom_site_label
_atom_site_fract_x
_atom_site_fract_y
_atom_site_fract_z
Rb1 0.056 0.574 0.729
Rb2 0.271 0.944 0.426
Rb3 0.426 0.271 0.944
Rb4 0.574 0.729 0.056
Rb5 0.729 0.056 0.574
Rb6 0.944 0.426 0.271
Ir1 0.000 0.000 0.000
Ir2 0.500 0.500 0.500
Br1 0.046 0.951 0.734
Br2 0.049 0.266 0.954
Br3 0.258 0.576 0.396
Br4 0.266 0.954 0.049
Br5 0.396 0.258 0.576
Br6 0.424 0.604 0.742
Br7 0.576 0.396 0.258
Br8 0.604 0.742 0.424
Br9 0.734 0.046 0.951
Br10 0.742 0.424 0.604
Br11 0.951 0.734 0.046
Br12 0.954 0.049 0.266
# spin magnetization: 0.006 μB per atom
# V: 787.73 Å³/cell

***

(ii)
# Rb3IrBr6 | Alexandria via LeMat-Bulk | PBE-GGA | relaxed
data_Rb3IrBr6
_space_group_name_H-M_alt 'P 1'
_space_group_IT_number 1
_space_group_name_Hall 'P 1'
_cell_length_a 7.961
_cell_length_b 8.164
_cell_length_c 13.715
_cell_angle_alpha 90.00
_cell_angle_beta 124.08
_cell_angle_gamma 90.00
loop_
_atom_site_label
_atom_site_fract_x
_atom_site_fract_y
_atom_site_fract_z
Rb1 0.000 0.000 0.000
Rb2 0.000 0.500 0.500
Rb3 0.277 0.071 0.757
Rb4 0.277 0.429 0.257
Rb5 0.723 0.571 0.743
Rb6 0.723 0.929 0.243
Ir1 0.500 0.000 0.500
Ir2 0.500 0.500 0.000
Br1 0.196 0.017 0.290
Br2 0.196 0.483 0.790
Br3 0.292 0.666 0.051
Br4 0.292 0.834 0.551
Br5 0.390 0.239 0.048
Br6 0.390 0.261 0.548
Br7 0.610 0.739 0.452
Br8 0.610 0.761 0.952
Br9 0.708 0.166 0.449
Br10 0.708 0.334 0.949
Br11 0.804 0.517 0.210
Br12 0.804 0.983 0.710
# spin magnetization: 0.000 μB per atom
# V: 738.36 Å³/cell

***

(iii)
# Rb3IrBr6 | Alexandria via LeMat-Bulk | PBE-GGA | relaxed
data_Rb3IrBr6
_space_group_name_H-M_alt 'P 1'
_space_group_IT_number 1
_space_group_name_Hall 'P 1'
_cell_length_a 8.094
_cell_length_b 8.094
_cell_length_c 8.094
_cell_angle_alpha 60.00
_cell_angle_beta 60.00
_cell_angle_gamma 60.00
loop_
_atom_site_label
_atom_site_fract_x
_atom_site_fract_y
_atom_site_fract_z
Rb1 0.000 0.000 0.000
Rb2 0.250 0.250 0.250
Rb3 0.750 0.750 0.750
Ir1 0.500 0.500 0.500
Br1 0.281 0.281 0.719
Br2 0.281 0.719 0.281
Br3 0.281 0.719 0.719
Br4 0.719 0.281 0.281
Br5 0.719 0.281 0.719
Br6 0.719 0.719 0.281
# spin magnetization: 0.000 μB per atom
# V: 374.91 Å³/cell

***

Stability summary: most stable (ii), least stable (iii).

***

(i)
# RbIr3Br | Alexandria via LeMat-Bulk | PBE-GGA | relaxed
data_RbIr3Br
_space_group_name_H-M_alt 'P 1'
_space_group_IT_number 1
_space_group_name_Hall 'P 1'
_cell_length_a 4.806
_cell_length_b 4.806
_cell_length_c 4.806
_cell_angle_alpha 90.00
_cell_angle_beta 90.00
_cell_angle_gamma 90.00
loop_
_atom_site_label
_atom_site_fract_x
_atom_site_fract_y
_atom_site_fract_z
Rb1 0.000 0.000 0.000
Ir1 0.000 0.500 0.500
Ir2 0.500 0.000 0.500
Ir3 0.500 0.500 0.000
Br1 0.500 0.500 0.500
# spin magnetization: 0.280 μB per atom
# V: 111.01 Å³/cell

***

(ii)
# RbIr3Br | Alexandria via LeMat-Bulk | PBE-GGA | relaxed
data_RbIr3Br
_space_group_name_H-M_alt 'P 1'
_space_group_IT_number 1
_space_group_name_Hall 'P 1'
_cell_length_a 5.137
_cell_length_b 5.137
_cell_length_c 5.137
_cell_angle_alpha 90.00
_cell_angle_beta 90.00
_cell_angle_gamma 90.00
loop_
_atom_site_label
_atom_site_fract_x
_atom_site_fract_y
_atom_site_fract_z
Rb1 0.000 0.000 0.000
Ir1 0.000 0.000 0.500
Ir2 0.000 0.500 0.000
Ir3 0.500 0.000 0.000
Br1 0.500 0.500 0.500
# spin magnetization: 0.968 μB per atom
# V: 135.53 Å³/cell

***

Stability summary: most stable (i), least stable (ii).

***

(i)
# RbIrBr2 | Alexandria via LeMat-Bulk | PBE-GGA | relaxed
data_RbIrBr2
_space_group_name_H-M_alt 'P 1'
_space_group_IT_number 1
_space_group_name_Hall 'P 1'
_cell_length_a 8.507
_cell_length_b 8.507
_cell_length_c 8.507
_cell_angle_alpha 136.42
_cell_angle_beta 136.42
_cell_angle_gamma 63.33
loop_
_atom_site_label
_atom_site_fract_x
_atom_site_fract_y
_atom_site_fract_z
Rb1 0.000 0.000 0.000
Rb2 0.750 0.250 0.500
Ir1 0.250 0.750 0.500
Ir2 0.500 0.500 0.000
Br1 0.255 0.625 0.130
Br2 0.375 0.505 0.630
Br3 0.495 0.125 0.870
Br4 0.875 0.745 0.370
# spin magnetization: 0.000 μB per atom
# V: 288.83 Å³/cell

***

(ii)
# RbIrBr2 | Alexandria via LeMat-Bulk | PBE-GGA | relaxed
data_RbIrBr2
_space_group_name_H-M_alt 'P 1'
_space_group_IT_number 1
_space_group_name_Hall 'P 1'
_cell_length_a 9.343
_cell_length_b 9.343
_cell_length_c 9.343
_cell_angle_alpha 25.61
_cell_angle_beta 25.61
_cell_angle_gamma 25.61
loop_
_atom_site_label
_atom_site_fract_x
_atom_site_fract_y
_atom_site_fract_z
Rb1 0.000 0.000 0.000
Ir1 0.500 0.500 0.500
Br1 0.122 0.122 0.122
Br2 0.878 0.878 0.878
# spin magnetization: 0.353 μB per atom
# V: 134.17 Å³/cell

***

(iii)
# RbIrBr2 | Alexandria via LeMat-Bulk | PBE-GGA | relaxed
data_RbIrBr2
_space_group_name_H-M_alt 'P 1'
_space_group_IT_number 1
_space_group_name_Hall 'P 1'
_cell_length_a 5.287
_cell_length_b 5.287
_cell_length_c 5.287
_cell_angle_alpha 60.00
_cell_angle_beta 60.00
_cell_angle_gamma 60.00
loop_
_atom_site_label
_atom_site_fract_x
_atom_site_fract_y
_atom_site_fract_z
Rb1 0.000 0.000 0.000
Ir1 0.500 0.500 0.500
Br1 0.250 0.250 0.250
Br2 0.750 0.750 0.750
# spin magnetization: 0.522 μB per atom
# V: 104.52 Å³/cell

***

Stability summary: most stable (i), least stable (iii).

***

(i)
# RbIrSe2Br | Alexandria via LeMat-Bulk | PBE-GGA | relaxed
data_RbIrSe2Br
_space_group_name_H-M_alt 'P 1'
_space_group_IT_number 1
_space_group_name_Hall 'P 1'
_cell_length_a 6.344
_cell_length_b 6.344
_cell_length_c 6.237
_cell_angle_alpha 90.00
_cell_angle_beta 90.00
_cell_angle_gamma 90.00
loop_
_atom_site_label
_atom_site_fract_x
_atom_site_fract_y
_atom_site_fract_z
Rb1 0.000 0.000 0.000
Ir1 0.500 0.500 0.500
Se1 0.000 0.500 0.000
Se2 0.500 0.000 0.000
Br1 0.000 0.000 0.500
# spin magnetization: 1.406 μB per atom
# V: 251.02 Å³/cell

***

(ii)
# RbIrSe2Br | Alexandria via LeMat-Bulk | PBE-GGA | relaxed
data_RbIrSe2Br
_space_group_name_H-M_alt 'P 1'
_space_group_IT_number 1
_space_group_name_Hall 'P 1'
_cell_length_a 4.927
_cell_length_b 4.927
_cell_length_c 5.671
_cell_angle_alpha 90.00
_cell_angle_beta 90.00
_cell_angle_gamma 90.00
loop_
_atom_site_label
_atom_site_fract_x
_atom_site_fract_y
_atom_site_fract_z
Rb1 0.000 0.000 0.000
Ir1 0.500 0.500 0.500
Se1 0.000 0.500 0.500
Se2 0.500 0.000 0.500
Br1 0.500 0.500 0.000
# spin magnetization: 0.000 μB per atom
# V: 137.65 Å³/cell

***

Stability summary: most stable (ii), least stable (i).